Gd2Ho2BI5: optimized geometry, PBE.

Geometry as CIF:
```
data_Gd2Ho2BI5
_symmetry_space_group_name_H-M 'C 1 2/m 1'
_symmetry_Int_Tables_number 12
_symmetry_space_group_name_Hall '-C 2y'
_cell_length_a 21.547
_cell_length_b 4.061
_cell_length_c 8.671
_cell_angle_alpha 90.00
_cell_angle_beta 101.39
_cell_angle_gamma 90.00
loop_
_atom_site_label
_atom_site_type_symbol
_atom_site_fract_x
_atom_site_fract_y
_atom_site_fract_z
Gd1 Gd 0.000 0.000 0.199
Ho1 Ho 0.117 0.500 0.058
B1 B 0.000 0.500 0.000
I1 I 0.000 0.500 0.500
I2 I 0.151 0.000 0.326
I3 I 0.152 0.000 0.823
```

Results
VASP energy = -4.363 eV/atom
calculated volume = 37.19 A^3/atom